Compound: NdGd2Si
Source: Alexandria
Functional: PBE
Structure: relaxed

Summary:
- E_form (uncorrected): -0.27 eV per atom
- Calculated volume: 26.08 A^3/atom
- Raw total energy: -9.86 eV/atom
- Energy relative to the lowest polymorph listed for this composition: 0.00 kcal/mol of atoms
- Crystal system: tetragonal

abc: 4.700 4.712 4.712
angles: 90.00 90.00 90.00
Last column: magnetic moment on the atom in μB.
Fractional coordinates of all 4 atoms:
Si 0.500 0.500 0.500  -0.05
Gd 0.000 0.000 0.500  7.19
Gd 0.000 0.500 0.000  7.19
Nd 0.500 0.000 0.000  0.05

***

Compound: NdGd2Si
Source: Alexandria
Functional: PBE
Structure: relaxed

Summary:
- E_form (uncorrected): -0.03 eV per atom
- Calculated volume: 31.34 A^3/atom
- Raw total energy: -9.62 eV/atom
- Energy relative to the lowest polymorph listed for this composition: 5.64 kcal/mol of atoms
- Crystal system: trigonal

abc: 3.655 3.655 11.038
angles: 80.47 80.47 60.00
Last column: magnetic moment on the atom in μB.
Fractional coordinates of all 4 atoms:
Si 0.500 0.500 0.500  -0.09
Gd 0.108 0.108 0.677  7.09
Gd 0.892 0.892 0.323  7.09
Nd 0.000 0.000 0.000  0.23

***

Compound: NdGd2Si
Source: Alexandria
Functional: PBE
Structure: relaxed

Summary:
- E_form (uncorrected): -0.26 eV per atom
- Calculated volume: 27.59 A^3/atom
- Raw total energy: -9.85 eV/atom
- Energy relative to the lowest polymorph listed for this composition: 0.26 kcal/mol of atoms
- Crystal system: tetragonal

abc: 3.797 3.797 7.653
angles: 90.00 90.00 90.00
Last column: magnetic moment on the atom in μB.
Fractional coordinates of all 4 atoms:
Si 0.500 0.500 0.000  -0.03
Gd 0.000 0.000 0.807  7.16
Gd 0.000 0.000 0.193  7.16
Nd 0.500 0.500 0.500  0.20

***

The lowest calculated volume belongs to which entry? number 1